Density functional theory data (GGA-PBE) for a relaxed Cd2CuHg crystal.

Unit cell a=3.3988 b=4.2887 c=5.6557 alpha=90.00 beta=96.19 gamma=90.00
Last column: nearest neighbours and their distance in Å.
Space group P2/m (No. 10)
Inequivalent atoms, fractional coordinates:
Cd1 0.0997 0.0000 0.2650 [2 per cell]  2 Cu 2.80, 2 Cd 2.81-3.00, 2 Hg 3.02
Cu1 0.5000 0.5000 0.5000 [1 per cell]  4 Cd 2.80, 2 Hg 2.83
Hg1 0.5000 0.5000 0.0000 [1 per cell]  2 Cu 2.83, 4 Cd 3.02

---

Density functional theory data (GGA-PBE) for a relaxed ZrSi2Tc crystal.

Unit cell a=6.3186 b=6.3186 c=6.3186 alpha=90.00 beta=90.00 gamma=90.00
Last column: nearest neighbours and their distance in Å.
Space group F-43m (No. 216)
Inequivalent atoms, fractional coordinates:
Zr1 0.0000 0.0000 0.0000 [4 per cell]  4 Si 2.74, 4 Tc 2.74
Si1 0.0000 0.0000 0.5000 [4 per cell]  4 Tc 2.74, 4 Si 2.74
Si2 0.2500 0.2500 0.2500 [4 per cell]  4 Zr 2.74, 4 Si 2.74
Tc1 0.2500 0.2500 0.7500 [4 per cell]  4 Zr 2.74, 4 Si 2.74

---

It is found that the total magnetization values, taken in the order of the records, are 0.0; 0.0 Bohr magnetons per cell.
It is found that the energy values, taken in the order of the records, are -1.4297; -7.5472 eV/atom.